1.
Computed, not measured: Pr8Ru3CBr3 after structural relaxation at the GGA-PBE level of DFT.

POSCAR file:
```
Pr8Ru3CBr3
1.0
8.180 0.000 -0.001
-4.090 7.088 -0.034
-0.001 -4.697 7.860
C Ru Pr Br
1 3 8 3
direct
0.000 0.000 0.500
0.500 0.000 0.500
0.000 0.500 0.500
0.500 0.500 0.500
0.264 0.529 0.293
0.219 0.437 0.682
0.745 0.964 0.682
0.219 0.964 0.682
0.781 0.563 0.318
0.736 0.471 0.707
0.781 0.036 0.318
0.255 0.036 0.318
0.500 0.500 0.000
0.000 0.000 0.000
0.000 0.500 0.000
```

Values from the calculation:
ΔE_f (raw)	-0.593	eV per atom



2.
Computed, not measured: Ac2CeHg after structural relaxation at the GGA-PBE level of DFT.

POSCAR file:
```
Ac2CeHg
1.0
-2.645 1.236 4.980
-5.606 -1.205 0.667
-1.636 -4.261 3.535
Ac Hg Ce
2 1 1
direct
0.250 0.250 0.250
0.750 0.750 0.750
0.500 0.500 0.500
0.000 0.000 0.000
```

Values from the calculation:
ΔE to the lowest computed polymorph	18.3	kJ/mol of atoms
ΔE_f	0.053	eV/atom



3.
Computed, not measured: Tb6Dy2Mg after structural relaxation at the GGA-PBE level of DFT.

POSCAR file:
```
Tb6Dy2Mg
1.0
-0.427 1.006 4.910
-7.398 -7.434 0.881
7.434 -7.147 2.111
Tb Dy Mg
12 4 2
direct
0.500 0.500 0.334
0.500 0.834 0.334
0.500 0.500 0.666
0.000 0.000 0.166
0.000 0.334 0.166
0.000 0.000 0.834
0.000 0.333 0.500
0.000 0.667 0.500
0.000 0.666 0.834
0.500 0.167 0.000
0.500 0.833 0.000
0.500 0.166 0.666
0.500 0.834 0.666
0.000 0.666 0.166
0.500 0.166 0.334
0.000 0.334 0.834
0.000 0.000 0.500
0.500 0.500 0.000
```

Values from the calculation:
ΔE to the lowest computed polymorph	1.7	kJ/mol of atoms
ΔE_f	0.021	eV/atom



4.
Computed, not measured: La7Tb12Pm after structural relaxation at the GGA-PBE level of DFT.

POSCAR file:
```
La7Tb12Pm
1.0
-0.438 8.076 3.669
-5.161 -2.717 6.698
6.874 -1.486 5.424
Tb La Pm
12 7 1
direct
0.381 0.866 0.504
0.619 0.134 0.496
0.254 0.725 0.856
0.856 0.254 0.725
0.144 0.746 0.275
0.275 0.144 0.746
0.496 0.619 0.134
0.866 0.504 0.381
0.134 0.496 0.619
0.725 0.856 0.254
0.746 0.275 0.144
0.504 0.381 0.866
0.500 0.500 0.500
0.838 0.605 0.918
0.918 0.838 0.605
0.082 0.162 0.395
0.605 0.918 0.838
0.395 0.082 0.162
0.162 0.395 0.082
0.000 0.000 0.000
```

Values from the calculation:
ΔE to the lowest computed polymorph	0.0	kJ/mol of atoms
ΔE_f	0.218	eV/atom



5.
Computed, not measured: Ac2Ag3Sn4Ir after structural relaxation at the GGA-PBE level of DFT.

POSCAR file:
```
Ac2Ag3Sn4Ir
1.0
4.745 0.000 0.000
0.000 4.745 0.000
0.000 0.000 11.289
Ir Ag Sn Ac
1 3 4 2
direct
0.500 0.500 0.500
0.000 0.000 0.500
0.500 0.000 0.860
0.000 0.500 0.140
0.000 0.500 0.381
0.500 0.500 0.000
0.500 0.000 0.619
0.000 0.000 0.000
0.000 0.500 0.730
0.500 0.000 0.270
```

Values from the calculation:
ΔE_f	-0.422	eV/atom



6.
Computed, not measured: V6IrW after structural relaxation at the GGA-PBE level of DFT.

POSCAR file:
```
V6IrW
1.0
5.058 0.423 -0.800
-1.263 4.406 -2.268
0.295 -0.287 5.097
V Ir W
6 1 1
direct
0.244 0.492 0.492
0.754 0.013 0.509
0.246 0.987 0.491
0.246 0.491 0.987
0.756 0.508 0.508
0.754 0.509 0.013
0.500 0.000 0.000
0.000 0.000 0.000
```

Values from the calculation:
ΔE_f	-0.016	eV/atom